LaReRu: relaxed, PBE.

Cell and atoms, written as POSCAR:
```
LaReRu
1.0
-3.9927 -1.8124 0.8354
-2.4964 -1.5466 -3.3616
-0.6032 -4.3951 -0.4934
La Re Ru
1 1 1
direct
0.7500 0.7500 0.7500
0.0000 0.0000 0.0000
0.5000 0.5000 0.5000
```

Output
DOS(E_F) in states/eV/atom: 1.744
Symmetry: F-43m, No. 216
Volume in Å³/cell: 62.9
DFT formation energy in eV/atom: 1.551
E in eV per atom: -7.333


LaRe2Ru: relaxed, PBE.

Cell and atoms, written as POSCAR:
```
LaRe2Ru
1.0
5.9695 0.0005 -0.0025
3.3588 4.9349 0.0025
-4.0560 -3.6171 2.4698
La Re Ru
1 2 1
direct
0.2500 0.7500 0.5000
0.9678 0.9678 0.0000
0.5322 0.5322 0.0000
0.7500 0.2500 0.5000
```

Output
DOS(E_F) in states/eV/atom: 1.155
Symmetry: Immm, No. 71
Volume in Å³/cell: 72.8
DFT formation energy in eV/atom: 0.474
E in eV per atom: -9.300


LaTaReRu2: relaxed, PBE.

Cell and atoms, written as POSCAR:
```
LaTaReRu2
1.0
4.7986 0.0000 0.0000
0.0000 4.8655 0.0000
0.0000 0.0000 4.7986
Re La Ru Ta
1 1 2 1
direct
0.0000 0.0000 0.0000
0.5000 0.5000 0.5000
0.0000 0.0000 0.5000
0.5000 0.0000 0.0000
0.0000 0.5000 0.0000
```

Output
DOS(E_F) in states/eV/atom: 0.948
Symmetry: P4/mmm, No. 123
Volume in Å³/cell: 112.0
DFT formation energy in eV/atom: 0.790
E in eV per atom: -8.766


LaTlRe2Ru: relaxed, PBE.

Cell and atoms, written as POSCAR:
```
LaTlRe2Ru
1.0
5.0075 0.0000 0.0000
0.0000 4.8863 0.0000
0.0000 0.0000 5.0075
Re Tl Ru La
2 1 1 1
direct
0.0000 0.0000 0.5000
0.5000 0.0000 0.0000
0.5000 0.5000 0.5000
0.0000 0.5000 0.0000
0.0000 0.0000 0.0000
```

Output
DOS(E_F) in states/eV/atom: 1.498
Symmetry: P4/mmm, No. 123
Volume in Å³/cell: 122.5
DFT formation energy in eV/atom: 2.527
E in eV per atom: -5.766


LaZrReRu2: relaxed, PBE.

Cell and atoms, written as POSCAR:
```
LaZrReRu2
1.0
-4.4516 1.7101 0.7256
-1.8889 -3.9319 -2.3221
-0.2262 -2.3692 4.1957
Re Ru Zr La
1 2 1 1
direct
0.0000 0.0000 0.0000
0.0000 0.0000 0.5000
0.5000 0.0000 0.0000
0.0000 0.5000 0.0000
0.5000 0.5000 0.5000
```

Output
DOS(E_F) in states/eV/atom: 0.851
Symmetry: P4/mmm, No. 123
Volume in Å³/cell: 115.0
DFT formation energy in eV/atom: 0.563
E in eV per atom: -8.332


LaReS2: relaxed, PBE.

Cell and atoms, written as POSCAR:
```
LaReS2
1.0
1.9602 0.0000 8.7148
-0.9801 1.6976 8.7148
-0.9801 -1.6976 8.7148
Re S La
1 2 1
direct
0.0000 0.0000 0.0000
0.9143 0.9143 0.9143
0.0857 0.0857 0.0857
0.5000 0.5000 0.5000
```

Output
DOS(E_F) in states/eV/atom: 0.738
Symmetry: R-3m, No. 166
Volume in Å³/cell: 87.0
E in eV per atom: -6.457


LaRe2S2: relaxed, PBE.

Cell and atoms, written as POSCAR:
```
LaRe2S2
1.0
-0.1444 2.1877 -3.4868
1.6266 -3.1747 -2.0592
-4.2932 -2.4229 -3.7750
Re S La
2 2 1
direct
0.7500 0.2500 0.5000
0.2500 0.7500 0.5000
0.3546 0.3546 0.2908
0.6454 0.6454 0.7092
0.0000 0.0000 0.0000
```

Output
DOS(E_F) in states/eV/atom: 1.086
Symmetry: I4/mmm, No. 139
Volume in Å³/cell: 93.0
E in eV per atom: -8.015


LaReS3: relaxed, PBE.

Cell and atoms, written as POSCAR:
```
LaReS3
1.0
4.6892 0.0000 0.0000
0.0000 4.6892 0.0000
0.0000 0.0000 4.6892
Re S La
1 3 1
direct
0.0000 0.0000 0.0000
0.0000 0.5000 0.0000
0.0000 0.0000 0.5000
0.5000 0.0000 0.0000
0.5000 0.5000 0.5000
```

Output
DOS(E_F) in states/eV/atom: 1.975
Symmetry: Pm-3m, No. 221
Volume in Å³/cell: 103.1
E in eV per atom: -6.692


LaReS2: relaxed, PBE.

Cell and atoms, written as POSCAR:
```
LaReS2
1.0
5.3768 0.0000 0.0000
0.0000 5.3768 0.0000
2.6884 2.6884 6.5941
Re S La
2 4 2
direct
0.0000 0.0000 0.0000
0.7500 0.2500 0.5000
0.7139 0.1250 0.2500
0.0361 0.6250 0.2500
0.3750 0.2861 0.7500
0.8750 0.9639 0.7500
0.5000 0.5000 0.0000
0.2500 0.7500 0.5000
```

Output
DOS(E_F) in states/eV/atom: 0.776
Symmetry: I-42d, No. 122
Volume in Å³/cell: 190.6
E in eV per atom: -7.055


La3ReS: relaxed, PBE.

Cell and atoms, written as POSCAR:
```
La3ReS
1.0
-3.7261 3.9862 -0.7232
0.3602 -0.6527 -5.4535
-4.0352 -3.7391 0.1810
Re S La
1 1 3
direct
0.0000 0.0000 0.0000
0.5000 0.5000 0.5000
0.0000 0.5000 0.0000
0.0000 0.0000 0.5000
0.5000 0.0000 0.0000
```

Output
DOS(E_F) in states/eV/atom: 1.812
Symmetry: Pm-3m, No. 221
Volume in Å³/cell: 166.8
E in eV per atom: -6.327


LaReS2: relaxed, PBE.

Cell and atoms, written as POSCAR:
```
LaReS2
1.0
-0.1460 -4.8246 7.8373
1.4854 -6.8866 5.9238
3.0624 -4.4779 7.4359
Re S La
1 2 1
direct
0.5000 0.5000 0.5000
0.8912 0.8912 0.8912
0.1088 0.1088 0.1088
0.0000 0.0000 0.0000
```

Output
DOS(E_F) in states/eV/atom: 0.814
Symmetry: R-3m, No. 166
Volume in Å³/cell: 82.5
E in eV per atom: -6.619


LaRe2S2: relaxed, PBE.

Cell and atoms, written as POSCAR:
```
LaRe2S2
1.0
7.8626 0.0000 0.0000
0.0000 7.8626 0.0000
0.0000 0.0000 3.0063
Re S La
4 4 2
direct
0.1141 0.6141 0.5000
0.6141 0.8859 0.5000
0.8859 0.3859 0.5000
0.3859 0.1141 0.5000
0.2803 0.7803 0.0000
0.7803 0.7197 0.0000
0.7197 0.2197 0.0000
0.2197 0.2803 0.0000
0.0000 0.0000 0.0000
0.5000 0.5000 0.0000
```

Output
DOS(E_F) in states/eV/atom: 1.066
Symmetry: P4/mbm, No. 127
Volume in Å³/cell: 185.9
E in eV per atom: -7.375


LaReS3: relaxed, PBE.

Cell and atoms, written as POSCAR:
```
LaReS3
1.0
5.4621 0.0000 0.0000
0.0000 5.4621 0.0000
0.0000 0.0000 5.4621
Re S La
1 3 1
direct
0.5000 0.5000 0.5000
0.0000 0.5000 0.0000
0.0000 0.0000 0.5000
0.5000 0.0000 0.0000
0.0000 0.0000 0.0000
```

Output
DOS(E_F) in states/eV/atom: 1.297
Symmetry: Pm-3m, No. 221
Volume in Å³/cell: 163.0
E in eV per atom: -5.114


LaReS2: relaxed, PBE.

Cell and atoms, written as POSCAR:
```
LaReS2
1.0
0.0000 3.3185 3.3185
3.3185 0.0000 3.3185
3.3185 3.3185 0.0000
Re S La
1 2 1
direct
0.5000 0.5000 0.5000
0.2500 0.2500 0.2500
0.7500 0.7500 0.7500
0.0000 0.0000 0.0000
```

Output
DOS(E_F) in states/eV/atom: 0.919
Symmetry: Fm-3m, No. 225
Volume in Å³/cell: 73.1
E in eV per atom: -6.725


La2ReS: relaxed, PBE.

Cell and atoms, written as POSCAR:
```
La2ReS
1.0
6.5027 0.0000 0.0000
0.0000 6.5027 0.0000
3.2514 3.2514 6.4239
Re S La
2 2 4
direct
0.0000 0.0000 0.0000
0.7500 0.2500 0.5000
0.5000 0.5000 0.0000
0.2500 0.7500 0.5000
0.6451 0.1250 0.2500
0.1049 0.6250 0.2500
0.3750 0.3549 0.7500
0.8750 0.8951 0.7500
```

Output
DOS(E_F) in states/eV/atom: 0.726
Symmetry: I-42d, No. 122
Volume in Å³/cell: 271.6
E in eV per atom: -6.715


LaRe2S: relaxed, PBE.

Cell and atoms, written as POSCAR:
```
LaRe2S
1.0
-1.9665 4.1874 -1.1252
-2.5929 -2.1259 -3.3801
-8.2219 -0.3085 3.1481
Re S La
4 2 2
direct
0.3198 0.1250 0.2500
0.4302 0.6250 0.2500
0.3750 0.6802 0.7500
0.8750 0.5698 0.7500
0.5000 0.5000 0.0000
0.2500 0.7500 0.5000
0.0000 0.0000 0.0000
0.7500 0.2500 0.5000
```

Output
DOS(E_F) in states/eV/atom: 0.964
Symmetry: I-42d, No. 122
Volume in Å³/cell: 184.5
E in eV per atom: -8.255


LaVReS2: relaxed, PBE.

Cell and atoms, written as POSCAR:
```
LaVReS2
1.0
-0.3126 -0.2285 -5.2505
-4.5196 -2.8851 0.3946
-2.8343 4.4366 -0.0243
Re S V La
1 2 1 1
direct
0.5000 0.5000 0.5000
0.0000 0.0000 0.5000
0.5000 0.0000 0.0000
0.0000 0.5000 0.0000
0.0000 0.0000 0.0000
```

Output
DOS(E_F) in states/eV/atom: 2.382
Symmetry: P4/mmm, No. 123
Volume in Å³/cell: 149.0
E in eV per atom: -5.056


LaReSb3: relaxed, PBE.

Cell and atoms, written as POSCAR:
```
LaReSb3
1.0
5.9811 0.0000 0.0000
0.0000 5.9811 0.0000
0.0000 0.0000 5.9811
Re Sb La
1 3 1
direct
0.5000 0.5000 0.5000
0.0000 0.5000 0.0000
0.0000 0.0000 0.5000
0.5000 0.0000 0.0000
0.0000 0.0000 0.0000
```

Output
DOS(E_F) in states/eV/atom: 1.195
Symmetry: Pm-3m, No. 221
Volume in Å³/cell: 214.0
E in eV per atom: -4.243


La2ReSb: relaxed, PBE.

Cell and atoms, written as POSCAR:
```
La2ReSb
1.0
-4.1301 0.5955 -1.3675
-0.5431 -4.4311 -0.2894
-2.0880 -2.3466 5.2842
La Re Sb
2 1 1
direct
0.0000 0.9808 0.9137
0.5000 0.2603 0.3540
0.0000 0.7023 0.4700
0.5000 0.5566 0.7623
```

Output
DOS(E_F) in states/eV/atom: 1.147
Symmetry: Amm2, No. 38
Volume in Å³/cell: 112.5
E in eV per atom: -6.829


La2ReSb: relaxed, PBE.

Cell and atoms, written as POSCAR:
```
La2ReSb
1.0
-4.7574 -2.3246 1.5204
-0.4403 -4.0338 -3.7261
4.3387 1.0158 3.2392
La Re Sb
2 1 1
direct
0.0000 0.0000 0.0000
0.5000 0.5000 0.0000
0.2500 0.7500 0.5000
0.7500 0.2500 0.5000
```

Output
DOS(E_F) in states/eV/atom: 0.751
Symmetry: I4/mmm, No. 139
Volume in Å³/cell: 104.3
E in eV per atom: -6.626


La2ReSb2: relaxed, PBE.

Cell and atoms, written as POSCAR:
```
La2ReSb2
1.0
4.2132 0.0000 0.0000
0.0000 4.2132 0.0000
2.1066 2.1066 7.4963
Re Sb La
1 2 2
direct
0.0000 0.0000 0.0000
0.4111 0.4111 0.1777
0.5889 0.5889 0.8223
0.7500 0.2500 0.5000
0.2500 0.7500 0.5000
```

Output
DOS(E_F) in states/eV/atom: 1.923
Symmetry: I4/mmm, No. 139
Volume in Å³/cell: 133.1
E in eV per atom: -5.200


La2ReSb: relaxed, PBE.

Cell and atoms, written as POSCAR:
```
La2ReSb
1.0
3.4874 0.0209 0.0000
-0.3398 3.4709 0.0000
0.0000 0.0000 8.8847
La Re Sb
2 1 1
direct
0.0000 0.0000 0.0442
0.0000 0.0000 0.4558
0.5000 0.5000 0.2500
0.5000 0.5000 0.7500
```

Output
DOS(E_F) in states/eV/atom: 0.749
Symmetry: Cmmm, No. 65
Volume in Å³/cell: 107.6
E in eV per atom: -6.744


La2ReSb: relaxed, PBE.

Cell and atoms, written as POSCAR:
```
La2ReSb
1.0
-2.2282 -1.6220 -2.1211
1.2143 -3.0759 1.0766
-6.2124 -0.1327 6.6278
La Re Sb
2 1 1
direct
0.0000 0.0000 0.9415
0.5000 0.5000 0.3244
0.0000 0.0000 0.5446
0.5000 0.5000 0.6895
```

Output
DOS(E_F) in states/eV/atom: 0.717
Symmetry: P4mm, No. 99
Volume in Å³/cell: 109.9
E in eV per atom: -6.581


La2ReSb: relaxed, PBE.

Cell and atoms, written as POSCAR:
```
La2ReSb
1.0
3.4748 0.0000 0.0000
0.0000 3.4748 0.0000
0.0000 0.0000 8.8699
La Re Sb
2 1 1
direct
0.0000 0.0000 0.0433
0.0000 0.0000 0.4567
0.5000 0.5000 0.2500
0.5000 0.5000 0.7500
```

Output
DOS(E_F) in states/eV/atom: 0.930
Symmetry: P4/mmm, No. 123
Volume in Å³/cell: 107.1
E in eV per atom: -6.742


LaRe2Sb2: relaxed, PBE.

Cell and atoms, written as POSCAR:
```
LaRe2Sb2
1.0
4.5315 0.0000 0.0000
0.0000 4.5315 0.0000
2.2658 2.2658 5.5763
Re Sb La
2 2 1
direct
0.7500 0.2500 0.5000
0.2500 0.7500 0.5000
0.3686 0.3686 0.2627
0.6314 0.6314 0.7373
0.0000 0.0000 0.0000
```

Output
DOS(E_F) in states/eV/atom: 0.989
Symmetry: I4/mmm, No. 139
Volume in Å³/cell: 114.5
E in eV per atom: -7.539


La2ReSb: relaxed, PBE.

Cell and atoms, written as POSCAR:
```
La2ReSb
1.0
-1.8517 3.9281 5.1987
-5.6021 3.7954 0.3111
2.8686 -6.0840 -0.8010
La Re Sb
2 1 1
direct
0.9986 0.9986 0.0000
0.7065 0.2065 0.5000
0.4839 0.4839 0.0000
0.3111 0.8111 0.5000
```

Output
DOS(E_F) in states/eV/atom: 1.081
Symmetry: Imm2, No. 44
Volume in Å³/cell: 108.6
E in eV per atom: -6.782


LaRe2Sb2: relaxed, PBE.

Cell and atoms, written as POSCAR:
```
LaRe2Sb2
1.0
8.1727 0.0000 0.0000
0.0000 8.1727 0.0000
0.0000 0.0000 3.1210
Re Sb La
4 4 2
direct
0.1363 0.6363 0.5000
0.6363 0.8637 0.5000
0.8637 0.3637 0.5000
0.3637 0.1363 0.5000
0.3510 0.8510 0.0000
0.8510 0.6490 0.0000
0.6490 0.1490 0.0000
0.1490 0.3510 0.0000
0.0000 0.0000 0.0000
0.5000 0.5000 0.0000
```

Output
DOS(E_F) in states/eV/atom: 1.477
Symmetry: P4/mbm, No. 127
Volume in Å³/cell: 208.5
E in eV per atom: -7.232


La2ReSb: relaxed, PBE.

Cell and atoms, written as POSCAR:
```
La2ReSb
1.0
-6.0464 7.4925 -1.4591
-7.0926 6.3895 1.9217
-4.1871 8.6577 1.5286
La Re Sb
2 1 1
direct
0.0107 0.0107 0.0107
0.2330 0.2330 0.2330
0.4898 0.4898 0.4898
0.7665 0.7665 0.7665
```

Output
DOS(E_F) in states/eV/atom: 0.920
Symmetry: R3m, No. 160
Volume in Å³/cell: 113.1
E in eV per atom: -6.307